# 1
This record from OQMD describes ErPt after structural relaxation. The functional is PBE.

It has space group F-43m (No. 216), with a = 6.2656 Å, b = 6.2656 Å, c = 6.2656 Å, α = 90.00°, β = 90.00° and γ = 90.00°. The asymmetric unit holds Er at (0.0000, 0.0000, 0.0000) and Pt at (0.2500, 0.2500, 0.7500).

For the mass density, the calculation gives 9.785 Mg/m³. The energy relative to the elements comes out at -11.889 kcal/mol of atoms. The total DFT energy (no corrections) is -5.825 eV/atom. The value obtained for the volume is 246.0 Å³/cell.


# 2
This record from OQMD describes RbErPt after structural relaxation. The functional is PBE.

It has space group F-43m (No. 216), with a = 7.1560 Å, b = 7.1560 Å, c = 7.1560 Å, α = 90.00°, β = 90.00° and γ = 90.00°. The asymmetric unit holds Rb at (0.0000, 0.0000, 0.0000), Er at (0.0000, 0.0000, 0.5000) and Pt at (0.2500, 0.2500, 0.7500).

For the mass density, the calculation gives 8.117 Mg/m³. The total DFT energy (no corrections) is -3.881 eV/atom. The value obtained for the volume is 366.4 Å³/cell.


# 3
This record from OQMD describes ErRePt after structural relaxation. The functional is PBE.

It has space group F-43m (No. 216), with a = 6.4103 Å, b = 6.4103 Å, c = 6.4103 Å, α = 90.00°, β = 90.00° and γ = 90.00°. The asymmetric unit holds Er at (0.0000, 0.0000, 0.0000), Re at (0.2500, 0.2500, 0.2500) and Pt at (0.2500, 0.2500, 0.7500).

For the mass density, the calculation gives 13.832 Mg/m³. The energy relative to the elements comes out at 20.762 kcal/mol of atoms. The total DFT energy (no corrections) is -6.780 eV/atom. The value obtained for the volume is 263.4 Å³/cell.


Q: What is the total DFT energy (no corrections) in the third record?
A: -6.780 eV/atom


What did the second record say?
This record from OQMD describes RbErPt after structural relaxation. The functional is PBE.

It has space group F-43m (No. 216), with a = 7.1560 Å, b = 7.1560 Å, c = 7.1560 Å, α = 90.00°, β = 90.00° and γ = 90.00°. The asymmetric unit holds Rb at (0.0000, 0.0000, 0.0000), Er at (0.0000, 0.0000, 0.5000) and Pt at (0.2500, 0.2500, 0.7500).

For the mass density, the calculation gives 8.117 Mg/m³. The total DFT energy (no corrections) is -3.881 eV/atom. The value obtained for the volume is 366.4 Å³/cell.


Q: total DFT energy (no corrections) of number 3 (ErRePt)?
A: -6.780 eV/atom